# 1
{
  "formula": "Pr2Nd6Dy3",
  "functional": "GGA-PBE",
  "state": "relaxed",
  "lattice_angstrom": [[-2.4017, 2.4017, 17.2302], [2.4017, -2.4017, 17.2302], [2.4017, 2.4017, -17.2302]],
  "species": ["Pr", "Pr", "Nd", "Nd", "Nd", "Nd", "Nd", "Nd", "Dy", "Dy", "Dy"],
  "frac_coords": [[0.0454, 0.0454, 0.0000], [0.9546, 0.9546, 0.0000], [0.1223, 0.6223, 0.5000], [0.2047, 0.2047, 0.0000], [0.3777, 0.8777, 0.5000], [0.6223, 0.1223, 0.5000], [0.7953, 0.7953, 0.0000], [0.8777, 0.3777, 0.5000], [0.3041, 0.3041, 0.0000], [0.5000, 0.5000, 0.0000], [0.6959, 0.6959, 0.0000]],
  "vol_a3_per_cell": 397.5,
  "n_ef_per_ev_atom": 1.49,
  "energy_ev_per_cell": -48.94,
  "e_form_mev_per_atom": 276
}



# 2
{
  "formula": "NaYCu10",
  "functional": "GGA-PBE",
  "state": "relaxed",
  "lattice_angstrom": [[4.0545, 0.0000, 0.0000], [0.0000, 5.0250, 0.0000], [0.0000, 0.0000, 8.7015]],
  "species": ["Na", "Y", "Cu", "Cu", "Cu", "Cu", "Cu", "Cu", "Cu", "Cu", "Cu", "Cu"],
  "frac_coords": [[0.0000, 0.0000, 0.0000], [0.0000, 0.5000, 0.5000], [0.0000, 0.0000, 0.3280], [0.0000, 0.0000, 0.6720], [0.0000, 0.5000, 0.1637], [0.0000, 0.5000, 0.8363], [0.5000, 0.0000, 0.5000], [0.5000, 0.2544, 0.2540], [0.5000, 0.2544, 0.7460], [0.5000, 0.5000, 0.0000], [0.5000, 0.7456, 0.2540], [0.5000, 0.7456, 0.7460]],
  "vol_a3_per_cell": 177.3,
  "n_ef_per_ev_atom": 0.47,
  "energy_ev_per_cell": -49.41,
  "e_form_mev_per_atom": -55
}



# 3
{
  "formula": "Y3GeAs2Rh9",
  "functional": "GGA-PBE",
  "state": "relaxed",
  "lattice_angstrom": [[6.2994, 0.0000, 0.0000], [-3.1497, 5.4554, 0.0000], [0.0000, 0.0000, 8.7277]],
  "species": ["Y", "Y", "Y", "Ge", "As", "As", "Rh", "Rh", "Rh", "Rh", "Rh", "Rh", "Rh", "Rh", "Rh"],
  "frac_coords": [[0.0000, 0.0000, 0.0000], [0.3333, 0.6667, 0.7213], [0.6667, 0.3333, 0.2787], [0.0000, 0.0000, 0.5000], [0.3333, 0.6667, 0.1788], [0.6667, 0.3333, 0.8212], [0.0000, 0.5000, 0.0000], [0.1417, 0.2833, 0.2814], [0.1417, 0.8583, 0.2814], [0.2833, 0.1417, 0.7186], [0.5000, 0.0000, 0.0000], [0.5000, 0.5000, 0.0000], [0.7167, 0.8583, 0.2814], [0.8583, 0.1417, 0.7186], [0.8583, 0.7167, 0.7186]],
  "vol_a3_per_cell": 299.9,
  "n_ef_per_ev_atom": 0.25,
  "energy_ev_per_cell": -106.34,
  "e_form_mev_per_atom": -458
}



# 4
{
  "formula": "SrHoAl2Ag5",
  "functional": "GGA-PBE",
  "state": "relaxed",
  "lattice_angstrom": [[4.6914, 0.0000, 0.0000], [0.0000, 4.6914, 0.0000], [0.0000, 0.0000, 8.8953]],
  "species": ["Sr", "Ho", "Al", "Al", "Ag", "Ag", "Ag", "Ag", "Ag"],
  "frac_coords": [[0.0000, 0.0000, 0.0000], [0.0000, 0.0000, 0.5000], [0.5000, 0.5000, 0.3569], [0.5000, 0.5000, 0.6431], [0.0000, 0.5000, 0.2411], [0.0000, 0.5000, 0.7589], [0.5000, 0.0000, 0.2411], [0.5000, 0.0000, 0.7589], [0.5000, 0.5000, 0.0000]],
  "vol_a3_per_cell": 195.8,
  "n_ef_per_ev_atom": 0.39,
  "energy_ev_per_cell": -29.42,
  "e_form_mev_per_atom": -158
}



# 5
{
  "formula": "MgZn2Cd",
  "functional": "GGA-PBE",
  "state": "relaxed",
  "lattice_angstrom": [[4.2818, 0.0000, 0.0000], [0.0000, 4.2818, 0.0000], [0.0000, 0.0000, 4.0230]],
  "species": ["Mg", "Zn", "Zn", "Cd"],
  "frac_coords": [[0.0000, 0.0000, 0.0000], [0.0000, 0.5000, 0.5000], [0.5000, 0.0000, 0.5000], [0.5000, 0.5000, 0.0000]],
  "vol_a3_per_cell": 73.8,
  "n_ef_per_ev_atom": 0.28,
  "energy_ev_per_cell": -5.12,
  "e_form_mev_per_atom": -15
}



# 6
{
  "formula": "ThZr",
  "functional": "GGA-PBE",
  "state": "relaxed",
  "lattice_angstrom": [[5.5444, 0.0000, 0.0000], [0.0000, 3.4670, 0.0000], [-0.7331, 0.0000, 5.7081]],
  "species": ["Th", "Th", "Zr", "Zr"],
  "frac_coords": [[0.0515, 0.2500, 0.2428], [0.9485, 0.7500, 0.7572], [0.4512, 0.2500, 0.7640], [0.5488, 0.7500, 0.2360]],
  "vol_a3_per_cell": 109.7,
  "n_ef_per_ev_atom": 1.30,
  "energy_ev_per_cell": -31.34,
  "e_form_mev_per_atom": 149
}